(1)
This record from Alexandria describes a geometry-optimized CeGdIrPt structure. The functional is GGA-PBE.

a b c (Å): 4.9764 4.9764 4.9764
angles (deg): 60.00 60.00 60.00
With the nearest neighbours (Å) after each atom.
Positions (direct):
Ce (0.5000, 0.5000, 0.5000)  4 Pt 3.05, 4 Ir 3.05
Gd (0.0000, 0.0000, 0.0000)  4 Ir 3.05, 4 Pt 3.05
Ir (0.2500, 0.2500, 0.2500)  4 Gd 3.05, 4 Ce 3.05
Pt (0.7500, 0.7500, 0.7500)  4 Gd 3.05, 4 Ce 3.05

Output
The formation energy is -336 kJ/mol of formula units. The density of states at the Fermi level is 7.040 states/eV per cell.


(2)
This record from Alexandria describes a geometry-optimized CeGdIrRh structure. The functional is GGA-PBE.

a b c (Å): 4.9218 4.9218 4.9218
angles (deg): 60.00 60.00 60.00
With the nearest neighbours (Å) after each atom.
Positions (direct):
Ce (0.2500, 0.2500, 0.2500)  4 Rh 3.01, 4 Ir 3.01
Ir (0.5000, 0.5000, 0.5000)  4 Gd 3.01, 4 Ce 3.01
Gd (0.7500, 0.7500, 0.7500)  4 Rh 3.01, 4 Ir 3.01
Rh (0.0000, 0.0000, 0.0000)  4 Gd 3.01, 4 Ce 3.01

Output
The formation energy is -280 kJ/mol of formula units. The density of states at the Fermi level is 4.908 states/eV per cell.


(3)
This record from Alexandria describes a geometry-optimized CeGdIrRu structure. The functional is GGA-PBE.

a b c (Å): 4.8971 4.8971 4.8971
angles (deg): 60.00 60.00 60.00
With the nearest neighbours (Å) after each atom.
Positions (direct):
Ru (0.5000, 0.5000, 0.5000)  4 Ce 3.00, 4 Gd 3.00
Gd (0.7500, 0.7500, 0.7500)  4 Ru 3.00, 4 Ir 3.00
Ir (0.0000, 0.0000, 0.0000)  4 Gd 3.00, 4 Ce 3.00
Ce (0.2500, 0.2500, 0.2500)  4 Ir 3.00, 4 Ru 3.00

Output
The formation energy is -194 kJ/mol of formula units. The density of states at the Fermi level is 3.360 states/eV per cell.


(4)
This record from Alexandria describes a geometry-optimized CeGdTlIr structure. The functional is GGA-PBE.

a b c (Å): 5.1836 5.1836 5.1836
angles (deg): 60.00 60.00 60.00
With the nearest neighbours (Å) after each atom.
Positions (direct):
Ce (0.7500, 0.7500, 0.7500)  4 Ir 3.17, 4 Tl 3.17
Gd (0.2500, 0.2500, 0.2500)  4 Tl 3.17, 4 Ir 3.17
Ir (0.5000, 0.5000, 0.5000)  4 Ce 3.17, 4 Gd 3.17
Tl (0.0000, 0.0000, 0.0000)  4 Ce 3.17, 4 Gd 3.17

Output
The formation energy is -139 kJ/mol of formula units. The density of states at the Fermi level is 7.537 states/eV per cell.


(5)
This record from Alexandria describes a geometry-optimized LaCe2Gd structure. The functional is GGA-PBE.

a b c (Å): 5.7164 5.7164 5.7164
angles (deg): 60.00 60.00 60.00
With the nearest neighbours (Å) after each atom.
Positions (direct):
Ce (0.7500, 0.7500, 0.7500)  4 La 3.50, 4 Gd 3.50
Ce (0.2500, 0.2500, 0.2500)  4 Gd 3.50, 4 La 3.50
Gd (0.0000, 0.0000, 0.0000)  8 Ce 3.50
La (0.5000, 0.5000, 0.5000)  8 Ce 3.50

Output
The formation energy is 97 kJ/mol of formula units. The density of states at the Fermi level is 15.370 states/eV per cell.


(6)
This record from Alexandria describes a geometry-optimized LaCe2Gd structure. The functional is GGA-PBE.

a b c (Å): 3.4028 3.4028 12.3873
angles (deg): 82.11 82.11 60.00
With the nearest neighbours (Å) after each atom.
Positions (direct):
Ce (0.0870, 0.0870, 0.7389)  1 La 3.19, 6 Ce 3.40, 3 Gd 3.52
Ce (0.9130, 0.9130, 0.2611)  1 La 3.19, 6 Ce 3.40, 3 Gd 3.52
Gd (0.5000, 0.5000, 0.5000)  6 Gd 3.40, 6 Ce 3.52
La (0.0000, 0.0000, 0.0000)  2 Ce 3.19, 6 La 3.40

Output
The formation energy is 77 kJ/mol of formula units. The density of states at the Fermi level is 9.851 states/eV per cell.